[1]
Below is an optimized crystal structure of KAc2Si, with properties calculated at the PBE level.

Properties
symmetry	No. 166
raw total energy	-15.3	eV/f.u.
ΔE_f (raw)	-0.61	eV/f.u.
Fermi-level density of states	1.206	states/eV/atom

Lattice parameters (Å, degrees): 4.3984 4.3984 11.8415 79.30 79.30 60.00
Element x y z (fractional)
Ac (0.7173, 0.7173, 0.8482)
Ac (0.2827, 0.2827, 0.1518)
Si (0.0000, 0.0000, 0.0000)
K (0.5000, 0.5000, 0.5000)


[2]
Below is an optimized crystal structure of PaTaAs2, with properties calculated at the PBE level.

Properties
E_form	-474	meV/atom
symmetry	No. 123
raw total energy	-32.5	eV/f.u.
Fermi-level density of states	0.964	states/eV/atom

Lattice parameters (Å, degrees): 3.3638 3.3638 6.7593 90.00 90.00 90.00
Element x y z (fractional)
As (0.0000, 0.0000, 0.7759)
As (0.0000, 0.0000, 0.2241)
Pa (0.5000, 0.5000, 0.5000)
Ta (0.5000, 0.5000, 0.0000)


[3]
Below is an optimized crystal structure of Pr3Y2Th, with properties calculated at the PBE level.

Properties
E_form	42	meV/atom
symmetry	No. 12
raw total energy	-34.4	eV/f.u.
Fermi-level density of states	1.503	states/eV/atom

Lattice parameters (Å, degrees): 5.1651 10.9405 8.1143 73.24 71.43 76.32
Element x y z (fractional)
Pr (0.0399, 0.1321, 0.7884)
Pr (0.9601, 0.8679, 0.2116)
Pr (0.6237, 0.8736, 0.8790)
Pr (0.3763, 0.1264, 0.1210)
Pr (0.8787, 0.6210, 0.6226)
Pr (0.1213, 0.3790, 0.3774)
Y (0.7925, 0.3781, 0.0370)
Y (0.2075, 0.6219, 0.9630)
Y (0.7062, 0.1268, 0.4606)
Y (0.2938, 0.8732, 0.5394)
Th (0.4585, 0.3774, 0.7058)
Th (0.5415, 0.6226, 0.2942)


[4]
Below is an optimized crystal structure of Tl2ReRh, with properties calculated at the PBE level.

Properties
E_form	676	meV/atom
symmetry	No. 44
raw total energy	-21.8	eV/f.u.
Fermi-level density of states	0.844	states/eV/atom

Lattice parameters (Å, degrees): 6.3526 6.3526 6.3526 153.17 135.64 52.60
Element x y z (fractional)
Tl (0.0069, 0.0069, 0.0000)
Tl (0.7203, 0.2203, 0.5000)
Re (0.4803, 0.4803, 0.0000)
Rh (0.2925, 0.7925, 0.5000)


[5]
Below is an optimized crystal structure of ReSiAs2, with properties calculated at the PBE level.

Properties
symmetry	No. 10
raw total energy	-25.2	eV/f.u.
ΔE_f (raw)	1.98	eV/f.u.
Fermi-level density of states	0.746	states/eV/atom

Lattice parameters (Å, degrees): 4.6112 3.4498 4.4495 77.07 90.00 90.00
Element x y z (fractional)
As (0.0000, 0.0580, 0.0403)
As (0.0000, 0.4420, 0.4597)
Re (0.5000, 0.2500, 0.2500)
Si (0.5000, 0.7500, 0.7500)


[6]
Below is an optimized crystal structure of AlSbAs2Ir, with properties calculated at the PBE level.

Properties
symmetry	No. 123
raw total energy	-23.3	eV/f.u.
ΔE_f (raw)	2.76	eV/f.u.
Fermi-level density of states	0.855	states/eV/atom

Lattice parameters (Å, degrees): 4.6592 5.8688 4.6592 90.00 90.00 90.00
Element x y z (fractional)
Sb (0.0000, 0.5000, 0.0000)
As (0.0000, 0.0000, 0.5000)
As (0.5000, 0.0000, 0.0000)
Ir (0.0000, 0.0000, 0.0000)
Al (0.5000, 0.5000, 0.5000)


[7]
Below is an optimized crystal structure of LaPr2Nd8, with properties calculated at the PBE level.

Properties
E_form	140	meV/atom
symmetry	No. 12
raw total energy	-51.1	eV/f.u.
Fermi-level density of states	1.550	states/eV/atom

Lattice parameters (Å, degrees): 5.7767 10.4780 10.4780 40.10 93.41 93.41
Element x y z (fractional)
La (0.0000, 0.0000, 0.0000)
Pr (0.7434, 0.2840, 0.2840)
Pr (0.2566, 0.7160, 0.7160)
Nd (0.2686, 0.1362, 0.6034)
Nd (0.2686, 0.6034, 0.1362)
Nd (0.7314, 0.8638, 0.3966)
Nd (0.2386, 0.5445, 0.5445)
Nd (0.7314, 0.3966, 0.8638)
Nd (0.2310, 0.1864, 0.1864)
Nd (0.7690, 0.8136, 0.8136)
Nd (0.7614, 0.4555, 0.4555)


[8]
Below is an optimized crystal structure of ZnCl2, with properties calculated at the PBE level.

Properties
symmetry	No. 139
raw total energy	-6.6	eV/f.u.
ΔE_f (raw)	-1.67	eV/f.u.

Lattice parameters (Å, degrees): 7.1516 7.1516 7.1516 154.21 154.21 36.79
Element x y z (fractional)
Zn (0.0000, 0.0000, 0.0000)
Cl (0.6114, 0.6114, 0.0000)
Cl (0.3886, 0.3886, 0.0000)